Material: Na2P3PdPt12
Method: DFT, PBE
State: relaxed

Values from the calculation:
* M_tot: 0.00 Bohr magnetons per cell
* N(E_F): 9.49 states/eV per cell
* mass density: 14.4 g/cm3
* uncorrected energy: -5.48 eV/atom

Cell: 6.7725 6.7725 6.7725 Å, 80.07 80.07 80.07°
Element x y z (fractional)
Na 0.0857 0.0857 0.0857
Na 0.9143 0.9143 0.9143
P 0.0000 0.5000 0.5000
P 0.5000 0.0000 0.5000
P 0.5000 0.5000 0.0000
Pd 0.5000 0.5000 0.5000
Pt 0.1412 0.6772 0.6772
Pt 0.1525 0.1525 0.5901
Pt 0.1525 0.5901 0.1525
Pt 0.3228 0.3228 0.8588
Pt 0.3228 0.8588 0.3228
Pt 0.4099 0.8475 0.8475
Pt 0.5901 0.1525 0.1525
Pt 0.6772 0.1412 0.6772
Pt 0.6772 0.6772 0.1412
Pt 0.8475 0.4099 0.8475
Pt 0.8475 0.8475 0.4099
Pt 0.8588 0.3228 0.3228

***

Material: SnGeTe3
Method: DFT, PBE
State: relaxed

Values from the calculation:
* M_tot: 0.00 Bohr magnetons per cell
* raw formation energy: -0.10 eV/atom
* N(E_F): 6.22 states/eV per cell
* mass density: 5.6 g/cm3
* uncorrected energy: -3.71 eV/atom

Cell: 4.2608 12.6256 12.6931 Å, 90.00 90.00 90.00°
Element x y z (fractional)
Sn 0.0030 0.1490 0.0000
Sn 0.4970 0.6490 0.5000
Sn 0.5030 0.3510 0.0000
Sn 0.9970 0.8510 0.5000
Ge 0.0041 0.4979 0.2275
Ge 0.4959 0.9979 0.7275
Ge 0.5041 0.0021 0.2275
Ge 0.9959 0.5021 0.7275
Te 0.0034 0.1649 0.2601
Te 0.0032 0.5126 0.0106
Te 0.0036 0.8588 0.2549
Te 0.4964 0.3588 0.7549
Te 0.4968 0.0126 0.5106
Te 0.4966 0.6649 0.7601
Te 0.5034 0.3351 0.2601
Te 0.5032 0.9874 0.0106
Te 0.5036 0.6412 0.2549
Te 0.9964 0.1412 0.7549
Te 0.9968 0.4874 0.5106
Te 0.9966 0.8351 0.7601

***

Material: CaPuIr
Method: DFT, PBE
State: relaxed

Values from the calculation:
* M_tot: 16.25 Bohr magnetons per cell
* N(E_F): 16.91 states/eV per cell
* mass density: 11.0 g/cm3
* uncorrected energy: -8.76 eV/atom
* energy above the most stable polymorph in this dataset: 0 meV/atom

Cell: 7.2702 7.2702 4.7112 Å, 90.00 90.00 120.00°
Element x y z (fractional)
Ca 0.0000 0.4222 0.0000
Ca 0.4222 0.0000 0.0000
Ca 0.5778 0.5778 0.0000
Pu 0.0000 0.7490 0.5000
Pu 0.2510 0.2510 0.5000
Pu 0.7490 0.0000 0.5000
Ir 0.0000 0.0000 0.0000
Ir 0.3333 0.6667 0.5000
Ir 0.6667 0.3333 0.5000